(1)
PBE Li5La2Al5, optimized geometry; N(E_F) = 4.1 states/eV/cell; space group = Pmmm, No. 47
1.0
4.455 0.000 0.000
0.000 5.527 0.000
0.000 0.000 9.632
Li La Al
5 2 5
Direct
0.000 0.000 0.000
0.500 0.000 0.170
0.500 0.000 0.830
0.500 0.500 0.334
0.500 0.500 0.666
0.500 0.000 0.500
0.500 0.500 0.000
0.000 0.250 0.251
0.000 0.250 0.749
0.000 0.500 0.500
0.000 0.750 0.251
0.000 0.750 0.749



(2)
PBE Mn3AlRu, optimized geometry; N(E_F) = 5.8 states/eV/cell; space group = Pm-3m, No. 221
1.0
4.688 0.000 0.000
0.000 4.688 0.000
0.000 0.000 4.688
Mn Al Ru
3 1 1
Direct
0.000 0.000 0.500
0.000 0.500 0.000
0.500 0.000 0.000
0.500 0.500 0.500
0.000 0.000 0.000



(3)
PBE Pm8Ir5Rh, optimized geometry; N(E_F) = 8.6 states/eV/cell; space group = I-4, No. 82
1.0
-4.405 4.405 4.413
4.405 -4.405 4.413
4.405 4.405 -4.413
Pm Ir Rh
8 5 1
Direct
0.000 0.377 0.248
0.124 0.248 0.751
0.130 0.752 0.752
0.248 0.000 0.377
0.497 0.372 0.249
0.623 0.870 0.623
0.628 0.876 0.124
0.752 0.503 0.876
0.000 0.000 0.000
0.252 0.628 0.125
0.372 0.497 0.624
0.503 0.127 0.875
0.873 0.748 0.376
0.750 0.250 0.500



(4)
PBE Tl5HgPd6, optimized geometry; N(E_F) = 4.4 states/eV/cell; space group = C2/m, No. 12
1.0
7.519 -3.380 0.000
7.519 3.380 0.000
-1.378 0.000 4.569
Tl Hg Pd
5 1 6
Direct
0.000 0.000 0.000
0.168 0.168 0.667
0.335 0.335 0.334
0.665 0.665 0.666
0.832 0.832 0.333
0.500 0.500 0.000
0.084 0.584 0.834
0.249 0.751 0.500
0.416 0.916 0.166
0.584 0.084 0.834
0.751 0.249 0.500
0.916 0.416 0.166



Number 1: E_form -254.6 meV/atom. Number 2: E_form 1124.7 meV/atom. Number 3: E_form -632.9 meV/atom. Number 4: E_form -122.8 meV/atom.